No. 1
A relaxed CsK2CuTc crystal, computed with PBE.

Cell and atoms, written as CIF:
```
data_CsK2CuTc
_chemical_formula_sum 'Cs1 K2 Cu1 Tc1'
_cell_length_a 6.392
_cell_length_b 6.392
_cell_length_c 5.414
_cell_angle_alpha 90.00
_cell_angle_beta 90.00
_cell_angle_gamma 90.00
_space_group_name_H-M_alt 'P 1'
_space_group_IT_number 1
_space_group_name_Hall 'P 1'
loop_
_atom_site_label
_atom_site_fract_x
_atom_site_fract_y
_atom_site_fract_z
Cs1 0.000 0.000 0.000
K1 0.000 0.500 0.000
K2 0.500 0.000 0.000
Cu1 0.000 0.000 0.500
Tc1 0.500 0.500 0.500
```

Results
Crystal system = tetragonal
DOS(E_F) = 4.3 states/eV/f.u.
Symmetry = P4/mmm
Energy = -1.75 eV/atom

No. 2
A relaxed TiCdAs2 crystal, computed with PBE.

Cell and atoms, written as CIF:
```
data_TiCdAs2
_chemical_formula_sum 'Ti2 Cd2 As4'
_cell_length_a 7.277
_cell_length_b 7.277
_cell_length_c 7.277
_cell_angle_alpha 131.17
_cell_angle_beta 131.17
_cell_angle_gamma 71.54
_space_group_name_H-M_alt 'P 1'
_space_group_IT_number 1
_space_group_name_Hall 'P 1'
loop_
_atom_site_label
_atom_site_fract_x
_atom_site_fract_y
_atom_site_fract_z
Ti1 0.000 0.000 0.000
Ti2 0.750 0.250 0.500
Cd1 0.250 0.750 0.500
Cd2 0.500 0.500 0.000
As1 0.092 0.625 0.967
As2 0.375 0.342 0.467
As3 0.658 0.125 0.033
As4 0.875 0.908 0.533
```

Results
Energy above the most stable polymorph in this dataset = 71 meV per atom
Crystal system = tetragonal
DOS(E_F) = 0.0 states/eV/f.u.
Symmetry = I-42d

No. 3
A relaxed DySbPt4 crystal, computed with PBE.

Cell and atoms, written as CIF:
```
data_DySbPt4
_chemical_formula_sum 'Dy1 Sb1 Pt4'
_cell_length_a 5.421
_cell_length_b 5.421
_cell_length_c 5.421
_cell_angle_alpha 60.00
_cell_angle_beta 60.00
_cell_angle_gamma 60.00
_space_group_name_H-M_alt 'P 1'
_space_group_IT_number 1
_space_group_name_Hall 'P 1'
loop_
_atom_site_label
_atom_site_fract_x
_atom_site_fract_y
_atom_site_fract_z
Dy1 0.000 0.000 0.000
Sb1 0.250 0.250 0.250
Pt1 0.125 0.625 0.625
Pt2 0.625 0.125 0.625
Pt3 0.625 0.625 0.125
Pt4 0.625 0.625 0.625
```

Results
Energy above the most stable polymorph in this dataset = 0 meV per atom
Crystal system = cubic
Raw formation energy = -4.08 eV/f.u.
DOS(E_F) = 1.6 states/eV/f.u.
Symmetry = F-43m

No. 4
A relaxed Er6ZnSi2 crystal, computed with PBE.

Cell and atoms, written as CIF:
```
data_Er6ZnSi2
_chemical_formula_sum 'Er12 Zn2 Si4'
_cell_length_a 8.343
_cell_length_b 8.343
_cell_length_c 8.343
_cell_angle_alpha 111.43
_cell_angle_beta 110.77
_cell_angle_gamma 106.26
_space_group_name_H-M_alt 'P 1'
_space_group_IT_number 1
_space_group_name_Hall 'P 1'
loop_
_atom_site_label
_atom_site_fract_x
_atom_site_fract_y
_atom_site_fract_z
Er1 0.030 0.825 0.205
Er2 0.250 0.555 0.305
Er3 0.250 0.945 0.695
Er4 0.266 0.323 0.589
Er5 0.266 0.677 0.944
Er6 0.380 0.175 0.205
Er7 0.620 0.825 0.795
Er8 0.734 0.323 0.056
Er9 0.734 0.677 0.411
Er10 0.750 0.055 0.305
Er11 0.750 0.445 0.695
Er12 0.970 0.175 0.795
Zn1 0.000 0.500 0.500
Zn2 0.500 0.000 0.500
Si1 0.000 0.145 0.145
Si2 0.000 0.855 0.855
Si3 0.382 0.382 0.000
Si4 0.618 0.618 0.000
```

Results
Crystal system = orthorhombic
Raw formation energy = -4.35 eV/f.u.
DOS(E_F) = 5.2 states/eV/f.u.
Symmetry = Immm

No. 5
A relaxed Zr3Fe20B6 crystal, computed with PBE.

Cell and atoms, written as CIF:
```
data_Zr3Fe20B6
_chemical_formula_sum 'Zr3 Fe20 B6'
_cell_length_a 7.650
_cell_length_b 7.650
_cell_length_c 7.650
_cell_angle_alpha 60.00
_cell_angle_beta 60.00
_cell_angle_gamma 60.00
_space_group_name_H-M_alt 'P 1'
_space_group_IT_number 1
_space_group_name_Hall 'P 1'
loop_
_atom_site_label
_atom_site_fract_x
_atom_site_fract_y
_atom_site_fract_z
Zr1 0.000 0.000 0.000
Zr2 0.250 0.250 0.250
Zr3 0.750 0.750 0.750
Fe1 0.000 0.000 0.349
Fe2 0.000 0.000 0.651
Fe3 0.000 0.349 0.000
Fe4 0.000 0.349 0.651
Fe5 0.000 0.651 0.000
Fe6 0.000 0.651 0.349
Fe7 0.161 0.613 0.613
Fe8 0.349 0.000 0.000
Fe9 0.349 0.000 0.651
Fe10 0.349 0.651 0.000
Fe11 0.387 0.387 0.387
Fe12 0.387 0.387 0.839
Fe13 0.387 0.839 0.387
Fe14 0.613 0.161 0.613
Fe15 0.613 0.613 0.161
Fe16 0.613 0.613 0.613
Fe17 0.651 0.000 0.000
Fe18 0.651 0.000 0.349
Fe19 0.651 0.349 0.000
Fe20 0.839 0.387 0.387
B1 0.269 0.269 0.731
B2 0.269 0.731 0.269
B3 0.269 0.731 0.731
B4 0.731 0.269 0.269
B5 0.731 0.269 0.731
B6 0.731 0.731 0.269
```

Results
Crystal system = cubic
DOS(E_F) = 20.5 states/eV/f.u.
Symmetry = Fm-3m
Energy = -8.38 eV/atom

No. 6
A relaxed BeCrNi14 crystal, computed with PBE.

Cell and atoms, written as CIF:
```
data_BeCrNi14
_chemical_formula_sum 'Be1 Cr1 Ni14'
_cell_length_a 4.960
_cell_length_b 4.960
_cell_length_c 6.970
_cell_angle_alpha 90.00
_cell_angle_beta 90.00
_cell_angle_gamma 90.00
_space_group_name_H-M_alt 'P 1'
_space_group_IT_number 1
_space_group_name_Hall 'P 1'
loop_
_atom_site_label
_atom_site_fract_x
_atom_site_fract_y
_atom_site_fract_z
Be1 0.000 0.000 0.000
Cr1 0.500 0.500 0.000
Ni1 0.000 0.000 0.500
Ni2 0.000 0.500 0.000
Ni3 0.000 0.500 0.500
Ni4 0.248 0.248 0.246
Ni5 0.248 0.248 0.754
Ni6 0.248 0.752 0.246
Ni7 0.248 0.752 0.754
Ni8 0.500 0.000 0.000
Ni9 0.500 0.000 0.500
Ni10 0.500 0.500 0.500
Ni11 0.752 0.248 0.246
Ni12 0.752 0.248 0.754
Ni13 0.752 0.752 0.246
Ni14 0.752 0.752 0.754
```

Results
Crystal system = tetragonal
DOS(E_F) = 23.6 states/eV/f.u.
Symmetry = P4/mmm
Energy = -5.93 eV/atom

No. 7
A relaxed HfCrW crystal, computed with PBE.

Cell and atoms, written as CIF:
```
data_HfCrW
_chemical_formula_sum 'Hf1 Cr1 W1'
_cell_length_a 5.435
_cell_length_b 5.435
_cell_length_c 5.435
_cell_angle_alpha 146.47
_cell_angle_beta 146.47
_cell_angle_gamma 48.14
_space_group_name_H-M_alt 'P 1'
_space_group_IT_number 1
_space_group_name_Hall 'P 1'
loop_
_atom_site_label
_atom_site_fract_x
_atom_site_fract_y
_atom_site_fract_z
Hf1 0.000 0.000 0.000
Cr1 0.675 0.675 0.000
W1 0.311 0.311 0.000
```

Results
Energy above the most stable polymorph in this dataset = 189 meV per atom
Crystal system = tetragonal
DOS(E_F) = 3.7 states/eV/f.u.
Symmetry = I4mm

No. 8
A relaxed NdCu10Rh2 crystal, computed with PBE.

Cell and atoms, written as CIF:
```
data_NdCu10Rh2
_chemical_formula_sum 'Nd1 Cu10 Rh2'
_cell_length_a 8.555
_cell_length_b 6.630
_cell_length_c 6.484
_cell_angle_alpha 81.44
_cell_angle_beta 50.02
_cell_angle_gamma 48.54
_space_group_name_H-M_alt 'P 1'
_space_group_IT_number 1
_space_group_name_Hall 'P 1'
loop_
_atom_site_label
_atom_site_fract_x
_atom_site_fract_y
_atom_site_fract_z
Nd1 0.000 0.000 0.000
Cu1 0.000 0.500 0.000
Cu2 0.002 0.354 0.646
Cu3 0.272 0.493 0.507
Cu4 0.354 0.002 0.998
Cu5 0.493 0.272 0.728
Cu6 0.500 0.000 0.500
Cu7 0.507 0.728 0.272
Cu8 0.646 0.998 0.002
Cu9 0.728 0.507 0.493
Cu10 0.998 0.646 0.354
Rh1 0.000 0.000 0.500
Rh2 0.500 0.500 0.000
```

Results
Crystal system = orthorhombic
DOS(E_F) = 8.3 states/eV/f.u.
Symmetry = Fmmm
Energy = -4.71 eV/atom

No. 9
A relaxed TiI2 crystal, computed with PBE.

Cell and atoms, written as CIF:
```
data_TiI2
_chemical_formula_sum 'Ti1 I2'
_cell_length_a 4.059
_cell_length_b 4.059
_cell_length_c 7.605
_cell_angle_alpha 90.00
_cell_angle_beta 90.00
_cell_angle_gamma 120.00
_space_group_name_H-M_alt 'P 1'
_space_group_IT_number 1
_space_group_name_Hall 'P 1'
loop_
_atom_site_label
_atom_site_fract_x
_atom_site_fract_y
_atom_site_fract_z
Ti1 0.000 0.000 0.000
I1 0.333 0.667 0.223
I2 0.667 0.333 0.777
```

Results
Crystal system = trigonal
Raw formation energy = -1.92 eV/f.u.
DOS(E_F) = 3.6 states/eV/f.u.
Symmetry = P-3m1

No. 10
A relaxed Ho2CF crystal, computed with PBE.

Cell and atoms, written as CIF:
```
data_Ho2CF
_chemical_formula_sum 'Ho4 C2 F2'
_cell_length_a 6.277
_cell_length_b 3.599
_cell_length_c 6.317
_cell_angle_alpha 90.00
_cell_angle_beta 90.28
_cell_angle_gamma 90.00
_space_group_name_H-M_alt 'P 1'
_space_group_IT_number 1
_space_group_name_Hall 'P 1'
loop_
_atom_site_label
_atom_site_fract_x
_atom_site_fract_y
_atom_site_fract_z
Ho1 0.204 0.000 0.332
Ho2 0.218 0.500 0.837
Ho3 0.782 0.500 0.163
Ho4 0.796 0.000 0.668
C1 0.000 0.000 0.000
C2 0.000 0.500 0.500
F1 0.407 0.500 0.176
F2 0.593 0.500 0.824
```

Results
Energy above the most stable polymorph in this dataset = 0 meV per atom
Crystal system = monoclinic
Raw formation energy = -6.34 eV/f.u.
DOS(E_F) = 1.6 states/eV/f.u.
Symmetry = P2/m

The records above give, respectively, magnetization values of 0.64; 0.00; 0.00; 0.00; 1.25; 0.30; 0.00; 0.03; 0.67; 0.12 μB/atom.